No. 1
16
Lattice="-4.9443 -2.0615 -3.5495 -1.0908 -5.5600 4.7487 -6.0874 5.6392 5.2043" Properties=species:S:1:pos:R:3 comment="GGA-PBE TbPr2Ru, relaxed" final_energy_ev_per_atom=-6.07 e_above_lowest_polymorph_mev_per_atom=0.0 volume_a3_per_fu=116.3 ef_ev_per_atom=-0.20 pbc="T T T"
Pr -4.4607 0.7869 1.9275
Pr -7.6618 -2.7692 4.4761
Tb -5.7835 -0.5919 -1.5147
Ru -2.1519 -0.8151 2.9749
Tb -5.3182 -2.9505 1.5852
Pr -1.9855 -3.7402 2.9502
Ru -9.9706 -1.1672 3.4287
Ru -7.3747 2.4678 2.5264
Ru -4.7479 -4.4501 3.8773
Pr -2.2226 -1.2865 0.0141
Tb -6.8044 0.9682 4.8184
Tb -6.3391 -1.3904 7.9183
Pr -7.8989 -0.3154 1.5400
Pr -10.1370 1.7579 3.4534
Pr -9.9000 -0.6958 6.3895
Pr -4.2236 -1.6669 4.8636

No. 2
3
Lattice="-3.0080 1.2099 -1.2338 -1.3500 -0.0989 3.1940 4.2715 5.7480 0.0996" Properties=species:S:1:pos:R:3 comment="GGA-PBE TbPrRu, relaxed" final_energy_ev_per_atom=-6.44 e_above_lowest_polymorph_mev_per_atom=0.0 volume_a3_per_fu=81.0 ef_ev_per_atom=-0.21 pbc="T T T"
Ru -1.4608 2.7188 1.3506
Tb 1.2128 3.6535 0.6258
Pr 0.1615 0.4866 0.0834

No. 3
3
Lattice="4.8809 0.0000 0.0000 2.4404 4.2269 0.0000 2.4404 1.4090 3.9852" Properties=species:S:1:pos:R:3 comment="GGA-PBE TbPrRu, relaxed" final_energy_ev_per_atom=-6.41 e_above_lowest_polymorph_mev_per_atom=29.6 volume_a3_per_fu=82.2 ef_ev_per_atom=-0.18 pbc="T T T"
Pr 4.8809 2.8180 1.9926
Tb 0.0000 0.0000 0.0000
Ru 2.4404 1.4090 0.9963

No. 4
8
Lattice="4.0440 0.0006 0.0000 -2.0204 6.1018 0.0000 0.0000 0.0000 9.4673" Properties=species:S:1:pos:R:3 comment="GGA-PBE TbPr2Ru, relaxed" final_energy_ev_per_atom=-6.04 e_above_lowest_polymorph_mev_per_atom=25.5 volume_a3_per_fu=116.8 ef_ev_per_atom=-0.18 pbc="T T T"
Tb 0.0006 1.0100 7.1005
Pr 0.0009 4.3837 5.3860
Ru 0.0006 3.1706 2.3668
Pr 0.0009 4.3837 8.8149
Tb 2.0230 5.0924 2.3668
Ru 2.0230 2.9318 7.1005
Pr 2.0226 1.7187 4.0812
Pr 2.0226 1.7187 0.6524

No. 5
4
Lattice="-2.4050 -1.8872 1.7857 1.7911 0.5584 3.0024 -4.9381 7.7216 1.5099" Properties=species:S:1:pos:R:3 comment="GGA-PBE TbPr2Ru, relaxed" final_energy_ev_per_atom=-5.86 e_above_lowest_polymorph_mev_per_atom=210.5 volume_a3_per_fu=116.4 ef_ev_per_atom=0.01 pbc="T T T"
Ru -0.3069 -0.6644 2.3941
Pr -0.9226 1.4427 0.2821
Pr -4.0155 6.2790 1.2278
Tb -2.7760 3.1964 3.1490

No. 6
3
Lattice="-1.6904 2.2055 -2.5218 1.4034 -2.9273 -3.5008 -4.1873 -0.7188 2.1781" Properties=species:S:1:pos:R:3 comment="GGA-PBE TbPrRu, relaxed" final_energy_ev_per_atom=-6.27 e_above_lowest_polymorph_mev_per_atom=171.7 volume_a3_per_fu=74.1 ef_ev_per_atom=-0.04 pbc="T T T"
Ru -0.0406 0.0529 -0.0605
Pr -1.6644 -0.6199 -3.4044
Tb -2.7693 -0.8736 -0.3796

No. 7
7
Lattice="3.8911 0.0000 0.0000 -1.9455 6.1108 -0.4150 0.0000 -3.3520 8.2956" Properties=species:S:1:pos:R:3 comment="GGA-PBE Tb3Pr2Ru2, relaxed" final_energy_ev_per_atom=-6.27 volume_a3_per_fu=191.8 ef_ev_per_atom=-0.26 pbc="T T T"
Tb 1.9455 0.0000 0.0000
Ru 0.0000 1.3771 1.8001
Pr 0.0000 -0.6760 6.5130
Tb 1.9455 0.0690 3.4226
Tb 0.0000 2.6898 4.4579
Ru 1.9456 1.3817 6.0805
Pr 1.9455 3.4348 1.3675

No. 8
4
Lattice="-2.2263 0.5198 2.8554 -1.0179 -2.8414 2.0665 7.3810 0.7864 7.9545" Properties=species:S:1:pos:R:3 comment="GGA-PBE TbPr2Ru, relaxed" final_energy_ev_per_atom=-5.63 e_above_lowest_polymorph_mev_per_atom=441.7 volume_a3_per_fu=123.7 ef_ev_per_atom=0.24 pbc="T T T"
Ru 2.0684 -0.7676 6.4382
Tb 0.0000 0.0000 0.0000
Pr -0.5359 -1.8223 6.9425
Pr 4.6727 0.2871 5.9338